Record 1
Compound: CoMo
Source: Alexandria via LeMat-Bulk
Functional: PBE-GGA
Structure: relaxed

Cell: 17.2967 17.2967 17.2967 Å, 15.88 15.88 15.88°
With the nearest neighbours (Å) after each atom.
Positions (direct):
Mo (0.3263, 0.3263, 0.3263)  4 Mo 2.62-2.85, 12 Co 2.69-2.87
Mo (0.8264, 0.8264, 0.8264)  7 Mo 2.68-2.85, 9 Co 2.74-2.92
Mo (0.1736, 0.1736, 0.1736)  7 Mo 2.68-2.85, 9 Co 2.74-2.92
Mo (0.6737, 0.6737, 0.6737)  4 Mo 2.62-2.85, 12 Co 2.69-2.87
Mo (0.2751, 0.2751, 0.2751)  2 Mo 2.52-2.62, 6 Co 2.60
Mo (0.7741, 0.7741, 0.7741)  2 Mo 2.52-2.68, 6 Co 2.59
Mo (0.2259, 0.2259, 0.2259)  2 Mo 2.52-2.68, 6 Co 2.59
Mo (0.7249, 0.7249, 0.7249)  2 Mo 2.52-2.62, 6 Co 2.60
Mo (0.9184, 0.9184, 0.9184)  6 Co 2.62-2.69, 3 Mo 2.76
Mo (0.4165, 0.4165, 0.4165)  6 Co 2.65-2.69, 3 Mo 2.76
Mo (0.5835, 0.5835, 0.5835)  6 Co 2.65-2.69, 3 Mo 2.76
Mo (0.0816, 0.0816, 0.0816)  6 Co 2.62-2.69, 3 Mo 2.76
Mo (0.5000, 0.5000, 0.5000)  6 Co 2.47
Co (0.1998, 0.7096, 0.7096)  4 Co 2.34-2.44, 3 Mo 2.47-2.59
Co (0.7033, 0.2055, 0.2055)  5 Co 2.38-2.40, 3 Mo 2.60-2.62
Co (0.7096, 0.1998, 0.7096)  4 Co 2.34-2.44, 3 Mo 2.47-2.59
Co (0.2055, 0.7033, 0.2055)  5 Co 2.38-2.40, 3 Mo 2.60-2.62
Co (0.7096, 0.7096, 0.1998)  4 Co 2.34-2.44, 3 Mo 2.47-2.59
Co (0.2055, 0.2055, 0.7033)  5 Co 2.38-2.40, 3 Mo 2.60-2.62
Co (0.2967, 0.7945, 0.7945)  5 Co 2.38-2.40, 3 Mo 2.60-2.62
Co (0.8002, 0.2904, 0.2904)  4 Co 2.34-2.44, 3 Mo 2.47-2.59
Co (0.7945, 0.2967, 0.7945)  5 Co 2.38-2.40, 3 Mo 2.60-2.62
Co (0.2904, 0.8002, 0.2904)  4 Co 2.34-2.44, 3 Mo 2.47-2.59
Co (0.7945, 0.7945, 0.2967)  5 Co 2.38-2.40, 3 Mo 2.60-2.62
Co (0.2904, 0.2904, 0.8002)  4 Co 2.34-2.44, 3 Mo 2.47-2.59
Co (0.0000, 0.0000, 0.0000)  6 Co 2.39

## Properties
DOS(E_F) ... 1.84 states/eV/f.u.
Formation energy ... -0.0345 eV per atom
E ... -9.00 eV/atom
Total magnetization ... 0.106 μB/atom

=====

Record 2
Compound: Co3Mo4
Source: Alexandria via LeMat-Bulk
Functional: PBE-GGA
Structure: relaxed

Cell: 4.7624 4.7624 4.7886 Å, 90.00 90.00 60.00°
With the nearest neighbours (Å) after each atom.
Positions (direct):
Co (0.5000, 0.5000, 0.0000)  4 Co 2.38
Co (0.0000, 0.5000, 0.0000)  4 Co 2.38
Co (0.5000, 0.0000, 0.0000)  4 Co 2.38
Mo (0.0000, 0.0000, 0.2539)  2 Mo 2.36-2.43
Mo (0.0000, 0.0000, 0.7461)  2 Mo 2.36-2.43
Mo (0.3333, 0.3333, 0.5000)  9 Mo 2.75-2.99, 6 Co 2.76
Mo (0.6667, 0.6667, 0.5000)  9 Mo 2.75-2.99, 6 Co 2.76

## Properties
DOS(E_F) ... 7.33 states/eV/f.u.
Formation energy ... 0.0025 eV per atom
E ... -9.23 eV/atom
Total magnetization ... 0.000 μB/atom

=====

Record 3
Compound: CoMo
Source: Alexandria via LeMat-Bulk
Functional: PBE-GGA
Structure: relaxed

Cell: 3.5434 3.5884 12.6682 Å, 90.00 90.00 90.00°
With the nearest neighbours (Å) after each atom.
Positions (direct):
Co (0.0000, 0.0000, 0.6385)  7 Mo 2.38-2.56, 2 Co 2.49
Co (0.0000, 0.0000, 0.3615)  7 Mo 2.38-2.56, 2 Co 2.49
Co (0.5000, 0.5000, 0.1385)  7 Mo 2.38-2.56, 2 Co 2.49
Co (0.5000, 0.5000, 0.8615)  7 Mo 2.38-2.56, 2 Co 2.49
Co (0.5000, 0.0000, 0.5000)  4 Co 2.49, 4 Mo 2.52
Co (0.0000, 0.5000, 0.0000)  4 Co 2.49, 4 Mo 2.52
Mo (0.0000, 0.0000, 0.8264)  5 Co 2.38-2.56
Mo (0.0000, 0.0000, 0.1736)  5 Co 2.38-2.56
Mo (0.5000, 0.5000, 0.3264)  5 Co 2.38-2.56
Mo (0.5000, 0.5000, 0.6736)  5 Co 2.38-2.56
Mo (0.0000, 0.5000, 0.5000)  8 Co 2.51-2.52
Mo (0.5000, 0.0000, 0.0000)  8 Co 2.51-2.52

## Properties
DOS(E_F) ... 2.40 states/eV/f.u.
Formation energy ... 0.2063 eV per atom
E ... -8.76 eV/atom
Total magnetization ... 0.000 μB/atom

=====

Record 4
Compound: Co3Mo2
Source: Alexandria via LeMat-Bulk
Functional: PBE-GGA
Structure: relaxed

Cell: 3.9888 3.9888 5.1628 Å, 90.00 90.00 120.00°
With the nearest neighbours (Å) after each atom.
Positions (direct):
Co (0.0000, 0.0000, 0.0000)  6 Mo 2.49
Co (0.6667, 0.3333, 0.6477)  4 Mo 2.40-2.46
Co (0.3333, 0.6667, 0.3523)  4 Mo 2.40-2.46
Mo (0.6667, 0.3333, 0.1837)  7 Co 2.40-2.49
Mo (0.3333, 0.6667, 0.8163)  7 Co 2.40-2.49

## Properties
DOS(E_F) ... 5.01 states/eV/f.u.
Formation energy ... 0.5242 eV per atom
E ... -8.07 eV/atom
Total magnetization ... 0.359 μB/atom

=====

Record 5
Compound: CoMo
Source: Alexandria via LeMat-Bulk
Functional: PBE-GGA
Structure: relaxed

Cell: 6.4655 6.4655 6.4655 Å, 90.00 90.00 90.00°
With the nearest neighbours (Å) after each atom.
Positions (direct):
Co (0.2500, 0.5000, 0.0000)  4 Mo 2.29
Co (0.7500, 0.5000, 0.0000)  4 Mo 2.29
Co (0.5000, 0.0000, 0.2500)  4 Mo 2.29
Co (0.5000, 0.0000, 0.7500)  4 Mo 2.29
Co (0.0000, 0.2500, 0.5000)  4 Mo 2.29
Co (0.0000, 0.7500, 0.5000)  4 Mo 2.29
Mo (0.2500, 0.0000, 0.5000)  4 Co 2.29
Mo (0.7500, 0.0000, 0.5000)  4 Co 2.29
Mo (0.0000, 0.5000, 0.2500)  4 Co 2.29
Mo (0.0000, 0.5000, 0.7500)  4 Co 2.29
Mo (0.5000, 0.2500, 0.0000)  4 Co 2.29
Mo (0.5000, 0.7500, 0.0000)  4 Co 2.29

## Properties
DOS(E_F) ... 1.38 states/eV/f.u.
Formation energy ... 1.5672 eV per atom
E ... -7.40 eV/atom
Total magnetization ... 0.000 μB/atom

=====

Record 6
Compound: CoMo
Source: Alexandria via LeMat-Bulk
Functional: PBE-GGA
Structure: relaxed

Cell: 9.2092 9.2092 2.5942 Å, 90.00 90.00 90.00°
With the nearest neighbours (Å) after each atom.
Positions (direct):
Co (0.4195, 0.8668, 0.0000)  6 Co 2.41-2.59, 4 Mo 2.44-2.64
Co (0.5805, 0.1332, 0.0000)  6 Co 2.41-2.59, 4 Mo 2.44-2.64
Co (0.1332, 0.4195, 0.0000)  6 Co 2.41-2.59, 4 Mo 2.44-2.64
Co (0.8668, 0.5805, 0.0000)  6 Co 2.41-2.59, 4 Mo 2.44-2.64
Co (0.9195, 0.3668, 0.5000)  6 Co 2.41-2.59, 4 Mo 2.44-2.64
Co (0.0805, 0.6332, 0.5000)  6 Co 2.41-2.59, 4 Mo 2.44-2.64
Co (0.6332, 0.9195, 0.5000)  6 Co 2.41-2.59, 4 Mo 2.44-2.64
Co (0.3668, 0.0805, 0.5000)  6 Co 2.41-2.59, 4 Mo 2.44-2.64
Mo (0.3820, 0.3298, 0.0000)  4 Co 2.44-2.64, 4 Mo 2.59-2.70
Mo (0.6180, 0.6702, 0.0000)  4 Co 2.44-2.64, 4 Mo 2.59-2.70
Mo (0.6702, 0.3820, 0.0000)  4 Co 2.44-2.64, 4 Mo 2.59-2.70
Mo (0.3298, 0.6180, 0.0000)  4 Co 2.44-2.64, 4 Mo 2.59-2.70
Mo (0.8820, 0.8298, 0.5000)  4 Co 2.44-2.64, 4 Mo 2.59-2.70
Mo (0.1180, 0.1702, 0.5000)  4 Co 2.44-2.64, 4 Mo 2.59-2.70
Mo (0.1702, 0.8820, 0.5000)  4 Co 2.44-2.64, 4 Mo 2.59-2.70
Mo (0.8298, 0.1180, 0.5000)  4 Co 2.44-2.64, 4 Mo 2.59-2.70

## Properties
DOS(E_F) ... 3.06 states/eV/f.u.
Formation energy ... 0.4713 eV per atom
E ... -8.50 eV/atom
Total magnetization ... 0.011 μB/atom